[1]
CaPtBr2 after structural relaxation. Source: Alexandria, functional PBE-GGA.

It has space group R-3m (No. 166, hexagonal axes), with a = 4.5763 Å, b = 4.5763 Å, c = 15.6243 Å, α = 90.00°, β = 90.00° and γ = 120.00°. The distinct sites, in fractional coordinates, are Ca at (0.0000, 0.0000, 0.0000), Pt at (0.0000, 0.0000, 0.5000) and Br at (0.0000, 0.0000, 0.2424).

For the total DFT energy (no corrections), the calculation gives -0.1283 Ha/atom. The energy above the most stable polymorph in this dataset is 0.4451 eV/atom. For the raw formation energy, the calculation gives -643.4 meV per atom. The volume is 94 Å³/f.u. The calculation puts the size of the total moment at 0.00 μB per formula unit.


[2]
CaPtBr after structural relaxation. Source: Alexandria, functional PBE-GGA.

It has space group F-43m (No. 216), with a = 6.775 Å, b = 6.775 Å, c = 6.775 Å, α = 90.00°, β = 90.00° and γ = 90.00°. The distinct sites, in fractional coordinates, are Ca at (0.000, 0.000, 0.000), Pt at (0.250, 0.250, 0.250) and Br at (0.000, 0.000, 0.500).

For the total DFT energy (no corrections), the calculation gives -0.1393 Ha/atom. The energy above the most stable polymorph in this dataset is 0.1191 eV/atom. For the raw formation energy, the calculation gives -553.3 meV per atom. The volume is 78 Å³/f.u. The calculation puts the size of the total moment at 0.00 μB per formula unit.